[1]
DFT (PBE) results for a relaxed Ba2LaPbSe5 crystal.

Results
Formation energy without anion corrections (eV per atom): -1.560
M_tot (μB/f.u.): 0.00

a = 4.528 Å, b = 9.757 Å, c = 13.593 Å
α = 90.00°, β = 90.00°, γ = 103.42°
Fractional positions:
1 Ba 0.862 0.725 0.808
2 Ba 0.113 0.227 0.686
3 Ba 0.138 0.275 0.308
4 Ba 0.887 0.773 0.186
5 La 0.789 0.578 0.514
6 La 0.211 0.422 0.014
7 Pb 0.531 0.061 0.955
8 Pb 0.469 0.939 0.455
9 Se 0.366 0.732 0.999
10 Se 0.680 0.360 0.868
11 Se 0.490 0.980 0.759
12 Se 0.286 0.572 0.659
13 Se 0.948 0.897 0.577
14 Se 0.634 0.268 0.499
15 Se 0.320 0.640 0.368
16 Se 0.510 0.020 0.259
17 Se 0.714 0.428 0.159
18 Se 0.052 0.103 0.077

[2]
DFT (PBE) results for a relaxed BaLaTlPb crystal.

Results
ΔE_f (eV/atom): -0.415
M_tot (μB/f.u.): 0.00

a = 5.863 Å, b = 5.863 Å, c = 5.863 Å
α = 60.00°, β = 60.00°, γ = 60.00°
Fractional positions:
1 Pb 0.500 0.500 0.500
2 Tl 0.000 0.000 0.000
3 Ba 0.750 0.750 0.750
4 La 0.250 0.250 0.250

[3]
DFT (PBE) results for a relaxed BaLaZn2Pb crystal.

Results
ΔE_f (eV/atom): 0.159
M_tot (μB/f.u.): 0.00

a = 5.709 Å, b = 6.111 Å, c = 5.709 Å
α = 90.00°, β = 90.00°, γ = 90.00°
Fractional positions:
1 Pb 0.000 0.500 0.000
2 Zn 0.000 0.000 0.500
3 Zn 0.500 0.000 0.000
4 Ba 0.500 0.500 0.500
5 La 0.000 0.000 0.000

[4]
DFT (PBE) results for a relaxed BaLaZnPb crystal.

Results
ΔE_f (eV/atom): -0.331
M_tot (μB/f.u.): 0.00

a = 5.740 Å, b = 5.740 Å, c = 5.740 Å
α = 60.00°, β = 60.00°, γ = 60.00°
Fractional positions:
1 Pb 0.500 0.500 0.500
2 Zn 0.000 0.000 0.000
3 Ba 0.250 0.250 0.250
4 La 0.750 0.750 0.750